## LiNpSbPd (PBE)

Data for crystalline LiNpSbPd at its relaxed geometry.

## Properties
- formation energy without anion corrections (meV per atom) = -288
- SG = F-43m, No. 216

abc: 4.830 4.830 4.830
angles: 60.00 60.00 60.00
Each line ends with the local moment (μB).
Element x y z (fractional)
Np1 0.250 0.250 0.250  4.13
Sb1 0.750 0.750 0.750  -0.04
Pd1 0.500 0.500 0.500  -0.01
Li1 0.000 0.000 0.000  0.07